Entry 1:
# MoAu3I | Alexandria | PBE | optimized geometry
data_MoAu3I
_chemical_formula_sum 'Mo1 Au3 I1'
_cell_length_a 5.341
_cell_length_b 5.341
_cell_length_c 5.341
_cell_angle_alpha 90.00
_cell_angle_beta 90.00
_cell_angle_gamma 90.00
_space_group_name_H-M_alt 'P m -3 m'
_space_group_IT_number 221
_space_group_name_Hall '-P 4 2 3'
loop_
_atom_site_label
_atom_site_type_symbol
_atom_site_fract_x
_atom_site_fract_y
_atom_site_fract_z
Mo1 Mo 0.000 0.000 0.000
Au1 Au 0.000 0.500 0.500
I1 I 0.500 0.500 0.500
# magnetization: 5.168 μB per cell
# DOS at the Fermi energy: 3.27 states/eV/f.u.
# uncorrected energy: -14.24 eV for the cell shown
# formation energy without anion corrections: 1.59 eV/atom

Entry 2:
# MoAuI2 | Alexandria | PBE | optimized geometry
data_MoAuI2
_chemical_formula_sum 'Mo4 Au4 I8'
_cell_length_a 6.638
_cell_length_b 6.638
_cell_length_c 11.730
_cell_angle_alpha 90.00
_cell_angle_beta 90.00
_cell_angle_gamma 90.00
_space_group_name_H-M_alt 'I -4 2 d'
_space_group_IT_number 122
_space_group_name_Hall 'I -4 2bw'
loop_
_atom_site_label
_atom_site_type_symbol
_atom_site_fract_x
_atom_site_fract_y
_atom_site_fract_z
Mo1 Mo 0.000 0.000 0.000
Au1 Au 0.000 0.000 0.500
I1 I 0.216 0.250 0.125
# magnetization: 0.000 μB per cell
# DOS at the Fermi energy: 6.29 states/eV/f.u.
# uncorrected energy: -55.47 eV for the cell shown
# formation energy without anion corrections: 0.84 eV/atom

Entry 3:
# MoAuI3 | Alexandria | PBE | optimized geometry
data_MoAuI3
_chemical_formula_sum 'Mo1 Au1 I3'
_cell_length_a 5.591
_cell_length_b 5.591
_cell_length_c 5.591
_cell_angle_alpha 90.00
_cell_angle_beta 90.00
_cell_angle_gamma 90.00
_space_group_name_H-M_alt 'P m -3 m'
_space_group_IT_number 221
_space_group_name_Hall '-P 4 2 3'
loop_
_atom_site_label
_atom_site_type_symbol
_atom_site_fract_x
_atom_site_fract_y
_atom_site_fract_z
Mo1 Mo 0.000 0.000 0.000
Au1 Au 0.500 0.500 0.500
I1 I 0.000 0.000 0.500
# magnetization: 3.126 μB per cell
# DOS at the Fermi energy: 3.23 states/eV/f.u.
# uncorrected energy: -15.75 eV for the cell shown
# formation energy without anion corrections: 0.60 eV/atom

Entry 4:
# MoAuI2 | Alexandria | PBE | optimized geometry
data_MoAuI2
_chemical_formula_sum 'Mo4 Au4 I8'
_cell_length_a 7.130
_cell_length_b 7.130
_cell_length_c 7.130
_cell_angle_alpha 90.00
_cell_angle_beta 90.00
_cell_angle_gamma 90.00
_space_group_name_H-M_alt 'F m -3 m'
_space_group_IT_number 225
_space_group_name_Hall '-F 4 2 3'
loop_
_atom_site_label
_atom_site_type_symbol
_atom_site_fract_x
_atom_site_fract_y
_atom_site_fract_z
Mo1 Mo 0.000 0.000 0.000
Au1 Au 0.000 0.000 0.500
I1 I 0.250 0.250 0.250
# magnetization: 3.880 μB per cell
# DOS at the Fermi energy: 2.92 states/eV/f.u.
# uncorrected energy: -54.04 eV for the cell shown
# formation energy without anion corrections: 0.92 eV/atom

Entry 5:
# NaMoAuI2 | Alexandria | PBE | optimized geometry
data_NaMoAuI2
_chemical_formula_sum 'Na1 Mo1 Au1 I2'
_cell_length_a 5.456
_cell_length_b 5.456
_cell_length_c 7.561
_cell_angle_alpha 90.00
_cell_angle_beta 90.00
_cell_angle_gamma 90.00
_space_group_name_H-M_alt 'P 4/m m m'
_space_group_IT_number 123
_space_group_name_Hall '-P 4 2'
loop_
_atom_site_label
_atom_site_type_symbol
_atom_site_fract_x
_atom_site_fract_y
_atom_site_fract_z
Na1 Na 0.000 0.000 0.000
Mo1 Mo 0.000 0.000 0.500
Au1 Au 0.500 0.500 0.000
I1 I 0.000 0.500 0.500
# magnetization: 4.000 μB per cell
# DOS at the Fermi energy: 2.62 states/eV/f.u.
# uncorrected energy: -15.38 eV for the cell shown
# formation energy without anion corrections: 0.63 eV/atom